Record 1
# NaPm3Pr4S8 PBE optimized geometry
# ΔE_f (raw)   -31.43 eV per formula unit
# Magnetization   0.000 μB per atom
# Space-group type   R-3m, No. 166
data_NaPm3Pr4S8
_cell_length_a 8.149
_cell_length_b 8.149
_cell_length_c 8.149
_cell_angle_alpha 59.91
_cell_angle_beta 59.91
_cell_angle_gamma 59.91
_symmetry_space_group_name_H-M 'P 1'
_symmetry_Int_Tables_number 1
_symmetry_space_group_name_Hall 'P 1'
loop_
_atom_site_label
_atom_site_type_symbol
_atom_site_fract_x
_atom_site_fract_y
_atom_site_fract_z
Na1 Na 0.000 0.000 0.000
Pm1 Pm 0.000 0.500 0.500
Pm2 Pm 0.500 0.000 0.500
Pm3 Pm 0.500 0.500 0.000
Pr1 Pr 0.000 0.000 0.500
Pr2 Pr 0.000 0.500 0.000
Pr3 Pr 0.500 0.000 0.000
Pr4 Pr 0.500 0.500 0.500
S1 S 0.247 0.247 0.749
S2 S 0.247 0.749 0.247
S3 S 0.251 0.753 0.753
S4 S 0.252 0.252 0.252
S5 S 0.748 0.748 0.748
S6 S 0.749 0.247 0.247
S7 S 0.753 0.251 0.753
S8 S 0.753 0.753 0.251

=====

Record 2
# Tm12Sn3Te5 PBE optimized geometry
# ΔE_f (raw)   -8.71 eV per formula unit
# Magnetization   0.223 μB per atom
# Space-group type   Ia-3d, No. 230
data_Tm12Sn3Te5
_cell_length_a 15.254
_cell_length_b 15.254
_cell_length_c 15.254
_cell_angle_alpha 109.47
_cell_angle_beta 109.47
_cell_angle_gamma 109.47
_symmetry_space_group_name_H-M 'P 1'
_symmetry_Int_Tables_number 1
_symmetry_space_group_name_Hall 'P 1'
loop_
_atom_site_label
_atom_site_type_symbol
_atom_site_fract_x
_atom_site_fract_y
_atom_site_fract_z
Tm1 Tm 0.062 0.226 0.142
Tm2 Tm 0.062 0.336 0.920
Tm3 Tm 0.080 0.642 0.416
Tm4 Tm 0.080 0.938 0.664
Tm5 Tm 0.084 0.726 0.664
Tm6 Tm 0.084 0.858 0.420
Tm7 Tm 0.142 0.062 0.226
Tm8 Tm 0.142 0.580 0.916
Tm9 Tm 0.164 0.226 0.584
Tm10 Tm 0.164 0.438 0.580
Tm11 Tm 0.226 0.142 0.062
Tm12 Tm 0.226 0.584 0.164
Tm13 Tm 0.274 0.336 0.916
Tm14 Tm 0.274 0.438 0.358
Tm15 Tm 0.336 0.916 0.274
Tm16 Tm 0.336 0.920 0.062
Tm17 Tm 0.358 0.274 0.438
Tm18 Tm 0.358 0.584 0.920
Tm19 Tm 0.416 0.080 0.642
Tm20 Tm 0.416 0.836 0.774
Tm21 Tm 0.420 0.084 0.858
Tm22 Tm 0.420 0.836 0.562
Tm23 Tm 0.438 0.358 0.274
Tm24 Tm 0.438 0.580 0.164
Tm25 Tm 0.562 0.420 0.836
Tm26 Tm 0.562 0.642 0.726
Tm27 Tm 0.580 0.164 0.438
Tm28 Tm 0.580 0.916 0.142
Tm29 Tm 0.584 0.164 0.226
Tm30 Tm 0.584 0.920 0.358
Tm31 Tm 0.642 0.416 0.080
Tm32 Tm 0.642 0.726 0.562
Tm33 Tm 0.664 0.080 0.938
Tm34 Tm 0.664 0.084 0.726
Tm35 Tm 0.726 0.562 0.642
Tm36 Tm 0.726 0.664 0.084
Tm37 Tm 0.774 0.416 0.836
Tm38 Tm 0.774 0.858 0.938
Tm39 Tm 0.836 0.562 0.420
Tm40 Tm 0.836 0.774 0.416
Tm41 Tm 0.858 0.420 0.084
Tm42 Tm 0.858 0.938 0.774
Tm43 Tm 0.916 0.142 0.580
Tm44 Tm 0.916 0.274 0.336
Tm45 Tm 0.920 0.062 0.336
Tm46 Tm 0.920 0.358 0.584
Tm47 Tm 0.938 0.664 0.080
Tm48 Tm 0.938 0.774 0.858
Sn1 Sn 0.125 0.250 0.375
Sn2 Sn 0.125 0.375 0.750
Sn3 Sn 0.250 0.375 0.125
Sn4 Sn 0.250 0.875 0.625
Sn5 Sn 0.375 0.125 0.250
Sn6 Sn 0.375 0.750 0.125
Sn7 Sn 0.625 0.250 0.875
Sn8 Sn 0.625 0.875 0.750
Sn9 Sn 0.750 0.125 0.375
Sn10 Sn 0.750 0.625 0.875
Sn11 Sn 0.875 0.625 0.250
Sn12 Sn 0.875 0.750 0.625
Te1 Te 0.000 0.000 0.000
Te2 Te 0.000 0.000 0.500
Te3 Te 0.000 0.500 0.000
Te4 Te 0.000 0.500 0.500
Te5 Te 0.125 0.750 0.875
Te6 Te 0.125 0.875 0.250
Te7 Te 0.250 0.125 0.875
Te8 Te 0.250 0.625 0.375
Te9 Te 0.375 0.250 0.625
Te10 Te 0.375 0.625 0.750
Te11 Te 0.500 0.000 0.000
Te12 Te 0.500 0.000 0.500
Te13 Te 0.500 0.500 0.000
Te14 Te 0.500 0.500 0.500
Te15 Te 0.625 0.375 0.250
Te16 Te 0.625 0.750 0.375
Te17 Te 0.750 0.375 0.625
Te18 Te 0.750 0.875 0.125
Te19 Te 0.875 0.125 0.750
Te20 Te 0.875 0.250 0.125

=====

Record 3
# RbBa2SnPt PBE optimized geometry
# Energy of formation   -1.92 eV/f.u.
# Magnetization   0.146 μB per atom
# Space-group type   P4/mmm, No. 123
data_RbBa2SnPt
_cell_length_a 6.346
_cell_length_b 6.346
_cell_length_c 5.304
_cell_angle_alpha 90.00
_cell_angle_beta 90.00
_cell_angle_gamma 90.00
_symmetry_space_group_name_H-M 'P 1'
_symmetry_Int_Tables_number 1
_symmetry_space_group_name_Hall 'P 1'
loop_
_atom_site_label
_atom_site_type_symbol
_atom_site_fract_x
_atom_site_fract_y
_atom_site_fract_z
Rb1 Rb 0.000 0.000 0.000
Ba1 Ba 0.000 0.500 0.500
Ba2 Ba 0.500 0.000 0.500
Sn1 Sn 0.500 0.500 0.000
Pt1 Pt 0.500 0.500 0.500

=====

Record 4
# HgSbBrF2 PBE optimized geometry
# ΔE_f (raw)   -6.51 eV per formula unit
# Magnetization   0.000 μB per atom
# Space-group type   P4/mmm, No. 123
data_HgSbBrF2
_cell_length_a 4.362
_cell_length_b 4.362
_cell_length_c 5.788
_cell_angle_alpha 90.00
_cell_angle_beta 90.00
_cell_angle_gamma 90.00
_symmetry_space_group_name_H-M 'P 1'
_symmetry_Int_Tables_number 1
_symmetry_space_group_name_Hall 'P 1'
loop_
_atom_site_label
_atom_site_type_symbol
_atom_site_fract_x
_atom_site_fract_y
_atom_site_fract_z
Hg1 Hg 0.000 0.000 0.000
Sb1 Sb 0.000 0.000 0.500
Br1 Br 0.500 0.500 0.000
F1 F 0.000 0.500 0.500
F2 F 0.500 0.000 0.500

=====

Record 5
# Sr2CaSn PBE optimized geometry
# Energy of formation   -1.53 eV/f.u.
# Magnetization   0.000 μB per atom
# Space-group type   P4/mmm, No. 123
data_Sr2CaSn
_cell_length_a 5.300
_cell_length_b 5.300
_cell_length_c 5.162
_cell_angle_alpha 90.00
_cell_angle_beta 90.00
_cell_angle_gamma 90.00
_symmetry_space_group_name_H-M 'P 1'
_symmetry_Int_Tables_number 1
_symmetry_space_group_name_Hall 'P 1'
loop_
_atom_site_label
_atom_site_type_symbol
_atom_site_fract_x
_atom_site_fract_y
_atom_site_fract_z
Sr1 Sr 0.000 0.500 0.000
Sr2 Sr 0.500 0.000 0.000
Ca1 Ca 0.000 0.000 0.500
Sn1 Sn 0.500 0.500 0.500

=====

Record 6
# Ho2MgS4 PBE optimized geometry
# ΔE_f (raw)   -12.70 eV per formula unit
# Magnetization   0.000 μB per atom
# Energy above the lowest structure with this stoichiometry   80.2 meV per atom
# Space-group type   I-42d, No. 122
data_Ho2MgS4
_cell_length_a 7.182
_cell_length_b 7.182
_cell_length_c 7.182
_cell_angle_alpha 110.30
_cell_angle_beta 110.30
_cell_angle_gamma 107.83
_symmetry_space_group_name_H-M 'P 1'
_symmetry_Int_Tables_number 1
_symmetry_space_group_name_Hall 'P 1'
loop_
_atom_site_label
_atom_site_type_symbol
_atom_site_fract_x
_atom_site_fract_y
_atom_site_fract_z
Ho1 Ho 0.016 0.125 0.391
Ho2 Ho 0.375 0.984 0.109
Ho3 Ho 0.734 0.625 0.609
Ho4 Ho 0.875 0.266 0.891
Mg1 Mg 0.250 0.750 0.500
Mg2 Mg 0.500 0.500 0.000
S1 S 0.013 0.749 0.133
S2 S 0.120 0.987 0.736
S3 S 0.134 0.501 0.764
S4 S 0.251 0.384 0.264
S5 S 0.499 0.263 0.633
S6 S 0.616 0.880 0.867
S7 S 0.630 0.866 0.367
S8 S 0.737 0.370 0.236

=====

Record 7
# La2Be2Nb PBE optimized geometry
# Energy of formation   3.80 eV/f.u.
# Magnetization   0.000 μB per atom
# Energy above the lowest structure with this stoichiometry   274.1 meV per atom
# Space-group type   P4/mbm, No. 127
data_La2Be2Nb
_cell_length_a 8.196
_cell_length_b 8.196
_cell_length_c 3.176
_cell_angle_alpha 90.00
_cell_angle_beta 90.00
_cell_angle_gamma 90.00
_symmetry_space_group_name_H-M 'P 1'
_symmetry_Int_Tables_number 1
_symmetry_space_group_name_Hall 'P 1'
loop_
_atom_site_label
_atom_site_type_symbol
_atom_site_fract_x
_atom_site_fract_y
_atom_site_fract_z
La1 La 0.127 0.373 0.000
La2 La 0.373 0.873 0.000
La3 La 0.627 0.127 0.000
La4 La 0.873 0.627 0.000
Be1 Be 0.170 0.670 0.500
Be2 Be 0.330 0.170 0.500
Be3 Be 0.670 0.830 0.500
Be4 Be 0.830 0.330 0.500
Nb1 Nb 0.000 0.000 0.000
Nb2 Nb 0.500 0.500 0.000

=====

What did the third record say?
# RbBa2SnPt PBE optimized geometry
# Energy of formation   -1.92 eV/f.u.
# Magnetization   0.146 μB per atom
# Space-group type   P4/mmm, No. 123
data_RbBa2SnPt
_cell_length_a 6.346
_cell_length_b 6.346
_cell_length_c 5.304
_cell_angle_alpha 90.00
_cell_angle_beta 90.00
_cell_angle_gamma 90.00
_symmetry_space_group_name_H-M 'P 1'
_symmetry_Int_Tables_number 1
_symmetry_space_group_name_Hall 'P 1'
loop_
_atom_site_label
_atom_site_type_symbol
_atom_site_fract_x
_atom_site_fract_y
_atom_site_fract_z
Rb1 Rb 0.000 0.000 0.000
Ba1 Ba 0.000 0.500 0.500
Ba2 Ba 0.500 0.000 0.500
Sn1 Sn 0.500 0.500 0.000
Pt1 Pt 0.500 0.500 0.500

=====

Repeat the fifth record exactly.
# Sr2CaSn PBE optimized geometry
# Energy of formation   -1.53 eV/f.u.
# Magnetization   0.000 μB per atom
# Space-group type   P4/mmm, No. 123
data_Sr2CaSn
_cell_length_a 5.300
_cell_length_b 5.300
_cell_length_c 5.162
_cell_angle_alpha 90.00
_cell_angle_beta 90.00
_cell_angle_gamma 90.00
_symmetry_space_group_name_H-M 'P 1'
_symmetry_Int_Tables_number 1
_symmetry_space_group_name_Hall 'P 1'
loop_
_atom_site_label
_atom_site_type_symbol
_atom_site_fract_x
_atom_site_fract_y
_atom_site_fract_z
Sr1 Sr 0.000 0.500 0.000
Sr2 Sr 0.500 0.000 0.000
Ca1 Ca 0.000 0.000 0.500
Sn1 Sn 0.500 0.500 0.500

=====

What is the magnetization in the first record? 0.000 μB per atom

=====

Which value of magnetization does entry 7 give? 0.000 μB per atom